[1]
TaSnB3 (GGA-PBE, relaxed); formation energy = 1.262 eV/atom; energy relative to the lowest polymorph listed for this composition = 0 meV/atom
1.0
4.381 0.000 0.000
0.000 4.381 0.000
0.000 0.000 4.381
Ta Sn B
1 1 3
Cartesian
0.000 0.000 0.000 Ta
2.190 2.190 2.190 Sn
0.000 0.000 2.190 B
0.000 2.190 0.000 B
2.190 0.000 0.000 B



[2]
Er3Be2Si3 (GGA-PBE, relaxed); formation energy without anion corrections = -0.61 eV/atom
1.0
1.917 -5.200 0.000
1.917 5.200 0.000
0.000 0.000 14.506
Er Be Si
6 4 6
Cartesian
1.917 4.643 10.880 Er
1.917 1.523 8.610 Er
1.917 1.523 13.149 Er
1.917 -1.523 1.357 Er
1.917 -1.523 5.896 Er
1.917 -4.643 3.627 Er
1.917 1.477 1.732 Be
1.917 1.477 5.521 Be
1.917 -1.477 8.985 Be
1.917 -1.477 12.774 Be
1.917 4.385 8.092 Si
1.917 4.385 13.667 Si
1.917 2.829 3.627 Si
1.917 -2.829 10.880 Si
1.917 -4.385 0.839 Si
1.917 -4.385 6.414 Si



| no. | D(E_F) (states/eV per cell) |
| --- | --- |
| 1 | 1.4 |
| 2 | 8.2 |